1.
# K3HfSc3Te8 (PBE-GGA, relaxed)
# - E: -4.998 eV per atom
data_K3HfSc3Te8
_chemical_formula_sum 'K3 Hf1 Sc3 Te8'
_space_group_name_H-M_alt 'P 1'
_space_group_IT_number 1
_space_group_name_Hall 'P 1'
_cell_length_a 9.7080
_cell_length_b 9.7080
_cell_length_c 9.7080
_cell_angle_alpha 51.52
_cell_angle_beta 51.52
_cell_angle_gamma 51.52
loop_
_atom_site_label
_atom_site_fract_x
_atom_site_fract_y
_atom_site_fract_z
K1 0.0000 0.5000 0.5000
K2 0.5000 0.0000 0.5000
K3 0.5000 0.5000 0.0000
Hf1 0.5000 0.5000 0.5000
Sc1 0.0000 0.0000 0.5000
Sc2 0.0000 0.5000 0.0000
Sc3 0.5000 0.0000 0.0000
Te1 0.2326 0.2326 0.2326
Te2 0.2344 0.7313 0.7313
Te3 0.2687 0.2687 0.7656
Te4 0.2687 0.7656 0.2687
Te5 0.7313 0.2344 0.7313
Te6 0.7313 0.7312 0.2344
Te7 0.7656 0.2688 0.2687
Te8 0.7674 0.7674 0.7674

=====

2.
# K3HfSc2Te6 (PBE-GGA, relaxed)
# - E: -4.857 eV per atom
# - DOS at the Fermi energy: 4.94 states/eV/f.u.
data_K3HfSc2Te6
_chemical_formula_sum 'K3 Hf1 Sc2 Te6'
_space_group_name_H-M_alt 'P 1'
_space_group_IT_number 1
_space_group_name_Hall 'P 1'
_cell_length_a 7.3727
_cell_length_b 7.3727
_cell_length_c 8.6128
_cell_angle_alpha 98.20
_cell_angle_beta 98.20
_cell_angle_gamma 120.00
loop_
_atom_site_label
_atom_site_fract_x
_atom_site_fract_y
_atom_site_fract_z
K1 0.0000 0.0000 0.0000
K2 0.3320 0.6680 0.0000
K3 0.6680 0.3320 0.0000
Hf1 0.5000 0.5000 0.5000
Sc1 0.1664 0.8336 0.5000
Sc2 0.8336 0.1664 0.5000
Te1 0.1041 0.4334 0.3001
Te2 0.2377 0.2377 0.7004
Te3 0.4334 0.1041 0.3001
Te4 0.5666 0.8959 0.6999
Te5 0.7623 0.7623 0.2996
Te6 0.8959 0.5666 0.6999

=====

3.
# K2HfScTe4 (PBE-GGA, relaxed)
# - E: -4.946 eV per atom
# - DOS at the Fermi energy: 2.92 states/eV/f.u.
data_K2HfScTe4
_chemical_formula_sum 'K2 Hf1 Sc1 Te4'
_space_group_name_H-M_alt 'P 1'
_space_group_IT_number 1
_space_group_name_Hall 'P 1'
_cell_length_a 7.3450
_cell_length_b 4.2201
_cell_length_c 8.6321
_cell_angle_alpha 90.00
_cell_angle_beta 106.34
_cell_angle_gamma 90.00
loop_
_atom_site_label
_atom_site_fract_x
_atom_site_fract_y
_atom_site_fract_z
K1 0.0000 0.0000 0.0000
K2 0.5000 0.5000 0.0000
Hf1 0.0000 0.5000 0.5000
Sc1 0.5000 0.0000 0.5000
Te1 0.2305 0.0000 0.7004
Te2 0.2636 0.5000 0.2994
Te3 0.7364 0.5000 0.7006
Te4 0.7695 0.0000 0.2996

=====

4.
# KHf2ScTi (PBE-GGA, relaxed)
# - E: -5.856 eV per atom
# - DOS at the Fermi energy: 8.25 states/eV/f.u.
# - DFT formation energy: 1190 meV per atom
data_KHf2ScTi
_chemical_formula_sum 'K1 Hf2 Sc1 Ti1'
_space_group_name_H-M_alt 'P 1'
_space_group_IT_number 1
_space_group_name_Hall 'P 1'
_cell_length_a 5.0305
_cell_length_b 5.0305
_cell_length_c 5.5035
_cell_angle_alpha 90.00
_cell_angle_beta 90.00
_cell_angle_gamma 90.00
loop_
_atom_site_label
_atom_site_fract_x
_atom_site_fract_y
_atom_site_fract_z
K1 0.0000 0.0000 0.0000
Hf1 0.0000 0.5000 0.5000
Hf2 0.5000 0.0000 0.5000
Sc1 0.5000 0.5000 0.0000
Ti1 0.0000 0.0000 0.5000

=====

5.
# K2HfScTl (PBE-GGA, relaxed)
# - E: -2.808 eV per atom
# - DOS at the Fermi energy: 11.88 states/eV/f.u.
# - DFT formation energy: 1361 meV per atom
data_K2HfScTl
_chemical_formula_sum 'K2 Hf1 Sc1 Tl1'
_space_group_name_H-M_alt 'P 1'
_space_group_IT_number 1
_space_group_name_Hall 'P 1'
_cell_length_a 6.5100
_cell_length_b 6.5100
_cell_length_c 5.5571
_cell_angle_alpha 90.00
_cell_angle_beta 90.00
_cell_angle_gamma 90.00
loop_
_atom_site_label
_atom_site_fract_x
_atom_site_fract_y
_atom_site_fract_z
K1 0.0000 0.5000 0.0000
K2 0.5000 0.0000 0.0000
Hf1 0.0000 0.0000 0.0000
Sc1 0.5000 0.5000 0.5000
Tl1 0.0000 0.0000 0.5000

=====

6.
# K8HfSe6 (PBE-GGA, relaxed)
# - E: -3.825 eV per atom
# - DOS at the Fermi energy: 0.00 states/eV/f.u.
data_K8HfSe6
_chemical_formula_sum 'K16 Hf2 Se12'
_space_group_name_H-M_alt 'P 1'
_space_group_IT_number 1
_space_group_name_Hall 'P 1'
_cell_length_a 10.0175
_cell_length_b 8.8673
_cell_length_c 12.4925
_cell_angle_alpha 90.00
_cell_angle_beta 90.00
_cell_angle_gamma 90.00
loop_
_atom_site_label
_atom_site_fract_x
_atom_site_fract_y
_atom_site_fract_z
K1 0.0000 0.1456 0.0000
K2 0.0000 0.1747 0.5173
K3 0.1724 0.5161 0.1624
K4 0.1814 0.6720 0.8629
K5 0.1960 0.9399 0.2403
K6 0.3040 0.0601 0.7403
K7 0.3186 0.3280 0.3629
K8 0.3276 0.4839 0.6624
K9 0.5000 0.8253 0.0173
K10 0.5000 0.8544 0.5000
K11 0.6724 0.4839 0.6624
K12 0.6814 0.3280 0.3629
K13 0.6960 0.0601 0.7403
K14 0.8040 0.9399 0.2403
K15 0.8186 0.6720 0.8629
K16 0.8276 0.5161 0.1624
Hf1 0.0000 0.6875 0.5545
Hf2 0.5000 0.3125 0.0545
Se1 0.0000 0.2335 0.2682
Se2 0.0000 0.4600 0.6782
Se3 0.0000 0.7862 0.0593
Se4 0.0000 0.9051 0.6881
Se5 0.2093 0.6837 0.4410
Se6 0.2907 0.3163 0.9410
Se7 0.5000 0.0949 0.1881
Se8 0.5000 0.2138 0.5593
Se9 0.5000 0.5400 0.1782
Se10 0.5000 0.7665 0.7682
Se11 0.7093 0.3163 0.9410
Se12 0.7907 0.6837 0.4410

=====

7.
# KHf2Se2 (PBE-GGA, relaxed)
# - E: -6.374 eV per atom
# - DOS at the Fermi energy: 4.68 states/eV/f.u.
data_KHf2Se2
_chemical_formula_sum 'K1 Hf2 Se2'
_space_group_name_H-M_alt 'P 1'
_space_group_IT_number 1
_space_group_name_Hall 'P 1'
_cell_length_a 7.9851
_cell_length_b 7.9851
_cell_length_c 7.9851
_cell_angle_alpha 149.83
_cell_angle_beta 149.83
_cell_angle_gamma 43.19
loop_
_atom_site_label
_atom_site_fract_x
_atom_site_fract_y
_atom_site_fract_z
K1 0.0000 0.0000 0.0000
Hf1 0.2500 0.7500 0.5000
Hf2 0.7500 0.2500 0.5000
Se1 0.3732 0.3732 0.0000
Se2 0.6268 0.6268 0.0000

=====

8.
# K3HfSe3 (PBE-GGA, relaxed)
# - E: -4.583 eV per atom
# - DOS at the Fermi energy: 3.05 states/eV/f.u.
data_K3HfSe3
_chemical_formula_sum 'K12 Hf4 Se12'
_space_group_name_H-M_alt 'P 1'
_space_group_IT_number 1
_space_group_name_Hall 'P 1'
_cell_length_a 8.2150
_cell_length_b 13.6217
_cell_length_c 10.7114
_cell_angle_alpha 90.00
_cell_angle_beta 126.79
_cell_angle_gamma 90.00
loop_
_atom_site_label
_atom_site_fract_x
_atom_site_fract_y
_atom_site_fract_z
K1 0.0971 0.1375 0.4766
K2 0.0971 0.3625 0.9766
K3 0.1357 0.0725 0.8966
K4 0.1357 0.4275 0.3966
K5 0.3717 0.6822 0.5676
K6 0.3717 0.8178 0.0676
K7 0.6283 0.1822 0.9324
K8 0.6283 0.3178 0.4324
K9 0.8643 0.5725 0.6034
K10 0.8643 0.9275 0.1034
K11 0.9029 0.6375 0.0234
K12 0.9029 0.8625 0.5234
Hf1 0.4422 0.0555 0.3459
Hf2 0.4422 0.4445 0.8459
Hf3 0.5578 0.5555 0.1541
Hf4 0.5578 0.9445 0.6541
Se1 0.1380 0.1702 0.1854
Se2 0.1380 0.3298 0.6854
Se3 0.3372 0.6204 0.8687
Se4 0.3372 0.8796 0.3687
Se5 0.3607 0.5396 0.2659
Se6 0.3607 0.9604 0.7659
Se7 0.6393 0.0396 0.2341
Se8 0.6393 0.4604 0.7341
Se9 0.6628 0.1204 0.6313
Se10 0.6628 0.3796 0.1313
Se11 0.8620 0.6702 0.3146
Se12 0.8620 0.8298 0.8146

=====

9.
# KHf3Se (PBE-GGA, relaxed)
# - E: -4.727 eV per atom
# - DOS at the Fermi energy: 8.68 states/eV/f.u.
data_KHf3Se
_chemical_formula_sum 'K1 Hf3 Se1'
_space_group_name_H-M_alt 'P 1'
_space_group_IT_number 1
_space_group_name_Hall 'P 1'
_cell_length_a 4.9895
_cell_length_b 4.9895
_cell_length_c 4.9895
_cell_angle_alpha 90.00
_cell_angle_beta 90.00
_cell_angle_gamma 90.00
loop_
_atom_site_label
_atom_site_fract_x
_atom_site_fract_y
_atom_site_fract_z
K1 0.0000 0.0000 0.0000
Hf1 0.0000 0.0000 0.5000
Hf2 0.0000 0.5000 0.0000
Hf3 0.5000 0.0000 0.0000
Se1 0.5000 0.5000 0.5000

=====

10.
# K14Hf2Se9 (PBE-GGA, relaxed)
# - E: -3.686 eV per atom
# - DOS at the Fermi energy: 6.88 states/eV/f.u.
data_K14Hf2Se9
_chemical_formula_sum 'K14 Hf2 Se9'
_space_group_name_H-M_alt 'P 1'
_space_group_IT_number 1
_space_group_name_Hall 'P 1'
_cell_length_a 9.4634
_cell_length_b 9.4634
_cell_length_c 12.8623
_cell_angle_alpha 90.00
_cell_angle_beta 90.00
_cell_angle_gamma 120.00
loop_
_atom_site_label
_atom_site_fract_x
_atom_site_fract_y
_atom_site_fract_z
K1 0.0000 0.0000 0.2463
K2 0.0000 0.0000 0.7537
K3 0.0495 0.6803 0.4053
K4 0.0970 0.4037 0.1036
K5 0.3068 0.9030 0.1036
K6 0.3197 0.3692 0.4053
K7 0.3692 0.0495 0.5947
K8 0.4037 0.3068 0.8964
K9 0.5963 0.6932 0.1036
K10 0.6308 0.9505 0.4053
K11 0.6803 0.6308 0.5947
K12 0.6932 0.0970 0.8964
K13 0.9030 0.5963 0.8964
K14 0.9505 0.3197 0.5947
Hf1 0.3333 0.6667 0.7750
Hf2 0.6667 0.3333 0.2250
Se1 0.0000 0.0000 0.5000
Se2 0.1072 0.3903 0.8393
Se3 0.2832 0.8928 0.8393
Se4 0.3333 0.6667 0.5770
Se5 0.3903 0.2832 0.1607
Se6 0.6097 0.7168 0.8393
Se7 0.6667 0.3333 0.4230
Se8 0.7168 0.1072 0.1607
Se9 0.8928 0.6097 0.1607

=====

11.
# K3HfSe (PBE-GGA, relaxed)
# - E: -2.884 eV per atom
# - DOS at the Fermi energy: 10.43 states/eV/f.u.
data_K3HfSe
_chemical_formula_sum 'K3 Hf1 Se1'
_space_group_name_H-M_alt 'P 1'
_space_group_IT_number 1
_space_group_name_Hall 'P 1'
_cell_length_a 6.2742
_cell_length_b 6.2742
_cell_length_c 6.2742
_cell_angle_alpha 90.00
_cell_angle_beta 90.00
_cell_angle_gamma 90.00
loop_
_atom_site_label
_atom_site_fract_x
_atom_site_fract_y
_atom_site_fract_z
K1 0.0000 0.0000 0.5000
K2 0.0000 0.5000 0.0000
K3 0.5000 0.0000 0.0000
Hf1 0.5000 0.5000 0.5000
Se1 0.0000 0.0000 0.0000

=====

12.
# KHf6Se12 (PBE-GGA, relaxed)
# - E: -6.415 eV per atom
# - DOS at the Fermi energy: 6.77 states/eV/f.u.
data_KHf6Se12
_chemical_formula_sum 'K1 Hf6 Se12'
_space_group_name_H-M_alt 'P 1'
_space_group_IT_number 1
_space_group_name_Hall 'P 1'
_cell_length_a 8.1855
_cell_length_b 8.1855
_cell_length_c 8.1855
_cell_angle_alpha 106.19
_cell_angle_beta 106.19
_cell_angle_gamma 106.19
loop_
_atom_site_label
_atom_site_fract_x
_atom_site_fract_y
_atom_site_fract_z
K1 0.0000 0.0000 0.0000
Hf1 0.2654 0.2654 0.6556
Hf2 0.2654 0.6556 0.2654
Hf3 0.3444 0.7346 0.7346
Hf4 0.6556 0.2654 0.2654
Hf5 0.7346 0.3444 0.7346
Hf6 0.7346 0.7346 0.3444
Se1 0.1228 0.5000 0.8772
Se2 0.1228 0.8772 0.5000
Se3 0.1624 0.4305 0.4305
Se4 0.4305 0.1624 0.4305
Se5 0.4305 0.4305 0.1624
Se6 0.5000 0.1228 0.8772
Se7 0.5000 0.8772 0.1228
Se8 0.5695 0.5695 0.8376
Se9 0.5695 0.8376 0.5695
Se10 0.8376 0.5695 0.5695
Se11 0.8772 0.1228 0.5000
Se12 0.8772 0.5000 0.1228

=====

no.,V (Å³/atom)
1,34.5
2,32.4
3,32.1
4,27.9
5,47.1
6,37.0
7,25.7
8,34.3
9,24.8
10,39.9
11,49.4
12,24.6